The following is a GGA-PBE calculation of a relaxed TiSeN2Cl crystal, from Alexandria via LeMat-Bulk.

abc: 3.8919 3.8919 4.6667
angles: 90.00 90.00 90.00
Last column: nearest neighbours and their distance in Å.
Fractional positions:
Se1 0.0000 0.0000 0.5000  2 Cl 2.33
N1 0.0000 0.5000 0.0000  2 Cl 1.95
Ti1 0.5000 0.5000 0.5000  4 Se 2.75, 8 N 3.04
N2 0.5000 0.0000 0.0000  2 Cl 1.95
Cl1 0.0000 0.0000 0.0000  4 N 1.95

Results
E above lowest polymorph ... 1285 meV/atom
Uncorrected energy ... -21.2 eV per cell
SG ... No. 123
Formation energy without anion corrections ... 1.73 eV per atom



The following is a GGA-PBE calculation of a relaxed Na6SrTl2 crystal, from Alexandria via LeMat-Bulk.

abc: 4.9160 4.9160 12.9148
angles: 90.00 90.00 90.00
Last column: nearest neighbours and their distance in Å.
Fractional positions:
Na1 0.0000 0.5000 0.2752  2 Tl 3.19, 4 Na 3.48
Na2 0.5000 0.5000 0.5000  12 Na 3.48-3.80
Tl1 0.5000 0.5000 0.8824  1 Tl 3.04, 4 Na 3.19
Sr1 0.0000 0.0000 0.0000  8 Tl 3.79
Na3 0.5000 0.0000 0.7248  2 Tl 3.19, 4 Na 3.48
Na4 0.0000 0.5000 0.7248  2 Tl 3.19, 4 Na 3.48
Tl2 0.5000 0.5000 0.1176  1 Tl 3.04, 4 Na 3.19
Na5 0.0000 0.0000 0.5000  12 Na 3.48-3.80
Na6 0.5000 0.0000 0.2752  2 Tl 3.19, 4 Na 3.48

Results
Uncorrected energy ... -15.0 eV per cell
SG ... No. 123
Formation energy from the elements ... -7 kJ per mole of atoms



The following is a GGA-PBE calculation of a relaxed Tb2Y8Th3 crystal, from Alexandria via LeMat-Bulk.

abc: 5.6089 7.8867 10.7457
angles: 111.53 90.03 90.00
Last column: nearest neighbours and their distance in Å.
Fractional positions:
Th1 0.5000 0.0000 0.0000  4 Y 3.16
Th2 0.0000 0.2968 0.0000  1 Th 3.20, 6 Y 3.48-3.52
Th3 0.0000 0.7032 0.0000  1 Th 3.20, 6 Y 3.48-3.52
Y1 0.0004 0.8714 0.7429  4 Th 3.48-3.81, 2 Tb 3.56-3.57, 4 Y 3.67-3.68
Tb1 0.5008 0.7612 0.5225  8 Y 3.33-3.57
Y2 0.4999 0.5978 0.7870  3 Th 3.16-3.52, 3 Y 3.22-3.49, 2 Tb 3.49-3.53
Y3 0.5001 0.4022 0.2130  3 Th 3.16-3.52, 3 Y 3.22-3.49, 2 Tb 3.49-3.53
Y4 0.9994 0.3285 0.6571  2 Tb 3.33, 4 Y 3.48-3.49
Y5 0.4999 0.1892 0.7870  3 Th 3.16-3.52, 3 Y 3.22-3.49, 2 Tb 3.49-3.53
Tb2 0.4992 0.2388 0.4775  8 Y 3.33-3.57
Y6 0.5001 0.8108 0.2130  3 Th 3.16-3.52, 3 Y 3.22-3.49, 2 Tb 3.49-3.53
Y7 0.9996 0.1286 0.2571  4 Th 3.48-3.81, 2 Tb 3.56-3.57, 4 Y 3.67-3.68
Y8 0.0006 0.6715 0.3429  2 Tb 3.33, 4 Y 3.48-3.49

Results
E above lowest polymorph ... 115 meV/atom
Uncorrected energy ... -79.6 eV per cell
SG ... No. 12
Formation energy from the elements ... 27 kJ per mole of atoms



The following is a GGA-PBE calculation of a relaxed TbHo5Bi4 crystal, from Alexandria via LeMat-Bulk.

abc: 4.3869 7.7011 11.4772
angles: 119.96 101.02 90.00
Last column: nearest neighbours and their distance in Å.
Fractional positions:
Bi1 0.3652 0.0560 0.7303  6 Ho 3.17-3.29, 1 Tb 3.28
Ho1 0.1958 0.7793 0.3916  4 Bi 3.16-3.29
Bi2 0.9377 0.6538 0.8754  4 Ho 3.08-3.16, 2 Tb 3.18
Bi3 0.6348 0.9440 0.2697  6 Ho 3.17-3.29, 1 Tb 3.28
Ho2 0.8042 0.2207 0.6084  4 Bi 3.16-3.29
Ho3 0.5000 0.5000 0.0000  6 Bi 3.14-3.22
Ho4 0.1884 0.2905 0.3769  3 Bi 3.08-3.18
Bi4 0.0623 0.3462 0.1246  4 Ho 3.08-3.16, 2 Tb 3.18
Tb1 0.5000 0.0000 0.0000  6 Bi 3.18-3.28
Ho5 0.8116 0.7095 0.6231  3 Bi 3.08-3.18

Results
Uncorrected energy ... -48.5 eV per cell
SG ... No. 12
Formation energy from the elements ... -53 kJ per mole of atoms



The following is a GGA-PBE calculation of a relaxed YZrAg2 crystal, from Alexandria via LeMat-Bulk.

abc: 5.7286 5.7286 5.7286
angles: 136.50 136.50 63.21
Last column: nearest neighbours and their distance in Å.
Fractional positions:
Ag1 0.2500 0.7500 0.5000  4 Zr 3.00, 4 Ag 3.23, 4 Y 3.23
Y1 0.5000 0.5000 0.0000  8 Ag 3.00-3.23, 4 Zr 3.23
Ag2 0.0000 0.0000 0.0000  4 Y 3.00, 4 Zr 3.23, 4 Ag 3.23
Zr1 0.7500 0.2500 0.5000  8 Ag 3.00-3.23, 4 Y 3.23

Results
E above lowest polymorph ... 136 meV/atom
Uncorrected energy ... -20.6 eV per cell
SG ... No. 119
Formation energy from the elements ... 2 kJ per mole of atoms



The following is a GGA-PBE calculation of a relaxed KCu2O2 crystal, from Alexandria via LeMat-Bulk.

abc: 6.6835 6.6835 2.8369
angles: 90.00 90.00 90.00
Last column: nearest neighbours and their distance in Å.
Fractional positions:
Cu1 0.6222 0.8778 0.5000  4 O 2.30, 1 Cu 2.31
O1 0.6469 0.1469 0.0000  4 Cu 2.30, 2 K 2.56
K1 0.0000 0.0000 0.0000  4 O 2.56, 2 K 2.84
Cu2 0.1222 0.6222 0.5000  4 O 2.30, 1 Cu 2.31
Cu3 0.3778 0.1222 0.5000  4 O 2.30, 1 Cu 2.31
K2 0.5000 0.5000 0.0000  4 O 2.56, 2 K 2.84
O2 0.1469 0.3531 0.0000  4 Cu 2.30, 2 K 2.56
Cu4 0.8778 0.3778 0.5000  4 O 2.30, 1 Cu 2.31
O3 0.3531 0.8531 0.0000  4 Cu 2.30, 2 K 2.56
O4 0.8531 0.6469 0.0000  4 Cu 2.30, 2 K 2.56

Results
E above lowest polymorph ... 742 meV/atom
Uncorrected energy ... -39.0 eV per cell
SG ... No. 127
Formation energy without anion corrections ... -0.06 eV per atom



The following is a GGA-PBE calculation of a relaxed Ce2Ge2H4Os crystal, from Alexandria via LeMat-Bulk.

abc: 5.5858 5.5858 5.5858
angles: 94.25 117.58 117.58
Last column: nearest neighbours and their distance in Å.
Fractional positions:
H1 0.0000 0.7878 0.2122  1 Os 1.74
Ge1 0.0000 0.6683 0.6683  1 Os 2.52, 1 Ge 2.56, 4 H 2.68
Ce1 0.5000 0.7500 0.2500  8 H 2.81, 4 Ge 2.96
H2 0.0000 0.2122 0.7878  1 Os 1.74
H3 0.5756 0.7878 0.7878  1 Os 1.74
Ce2 0.5000 0.2500 0.7500  8 H 2.81, 4 Ge 2.96
H4 0.4244 0.2122 0.2122  1 Os 1.74
Os1 0.0000 0.0000 0.0000  4 H 1.74
Ge2 0.0000 0.3317 0.3317  1 Os 2.52, 1 Ge 2.56, 4 H 2.68

Results
Uncorrected energy ... -47.7 eV per cell
SG ... No. 139



The following is a GGA-PBE calculation of a relaxed Au2SeBr crystal, from Alexandria via LeMat-Bulk.

abc: 3.7147 3.7077 7.2133
angles: 90.00 90.00 90.00
Last column: nearest neighbours and their distance in Å.
Fractional positions:
Au1 0.0000 0.0000 0.8570  4 Se 2.67, 1 Br 2.93
Au2 0.5000 0.5000 0.2678  1 Se 2.48
Se1 0.5000 0.5000 0.9238  5 Au 2.48-2.67
Br1 0.0000 0.0000 0.4514  5 Au 2.93-2.94

Results
E above lowest polymorph ... 104 meV/atom
Uncorrected energy ... -11.2 eV per cell
SG ... No. 99
Formation energy without anion corrections ... 0.12 eV per atom



The following is a GGA-PBE calculation of a relaxed SrZnRu2 crystal, from Alexandria via LeMat-Bulk.

abc: 2.9265 3.6494 7.2056
angles: 90.00 90.00 90.00
Last column: nearest neighbours and their distance in Å.
Fractional positions:
Ru1 0.0000 0.0000 0.0214  4 Ru 2.58, 4 Zn 2.78
Zn1 0.5000 0.5000 0.8127  5 Ru 2.59-2.78
Ru2 0.5000 0.5000 0.1724  4 Ru 2.58, 1 Zn 2.59
Sr1 0.0000 0.0000 0.4936  2 Sr 2.93

Results
Uncorrected energy ... -20.5 eV per cell
SG ... No. 25
Formation energy from the elements ... 24 kJ per mole of atoms



The following is a GGA-PBE calculation of a relaxed Nd2In3Hg crystal, from Alexandria via LeMat-Bulk.

abc: 3.7513 4.9813 8.6360
angles: 90.00 90.00 90.00
Last column: nearest neighbours and their distance in Å.
Fractional positions:
Nd1 0.0000 0.0000 0.4994  8 In 3.41-3.44, 4 Hg 3.43, 2 Nd 3.75
In1 0.5000 0.5000 0.6638  1 Hg 2.86, 2 In 2.89
Hg1 0.5000 0.5000 0.3325  3 In 2.86
In2 0.5000 0.0000 0.1691  2 Hg 2.86, 1 In 2.90
In3 0.5000 0.0000 0.8338  3 In 2.89-2.90
Nd2 0.0000 0.5000 0.0014  2 Hg 3.42, 10 In 3.44-3.47, 2 Nd 3.75

Results
E above lowest polymorph ... 0 meV/atom
Uncorrected energy ... -20.9 eV per cell
SG ... No. 25
Formation energy from the elements ... -45 kJ per mole of atoms